# 1
# AsPCl2 PBE relaxed
data_AsPCl2
_chemical_formula_sum 'As1 P1 Cl2'
_cell_length_a 3.146
_cell_length_b 4.376
_cell_length_c 5.576
_cell_angle_alpha 90.00
_cell_angle_beta 90.00
_cell_angle_gamma 90.00
_symmetry_space_group_name_H-M 'P m m m'
_symmetry_Int_Tables_number 47
_symmetry_space_group_name_Hall '-P 2 2'
loop_
_atom_site_label
_atom_site_type_symbol
_atom_site_fract_x
_atom_site_fract_y
_atom_site_fract_z
_atom_site_occupancy
As1 As 0.000 0.000 0.000 1
P1 P 0.500 0.000 0.500 1
Cl1 Cl 0.000 0.500 0.500 1
Cl2 Cl 0.500 0.500 0.000 1
# - Energy above the most stable polymorph in this dataset: 842 meV per atom

# 2
# AsPCl PBE relaxed
data_AsPCl
_chemical_formula_sum 'As4 P4 Cl4'
_cell_length_a 13.330
_cell_length_b 3.652
_cell_length_c 8.356
_cell_angle_alpha 90.00
_cell_angle_beta 125.19
_cell_angle_gamma 90.00
_symmetry_space_group_name_H-M 'C 1 m 1'
_symmetry_Int_Tables_number 8
_symmetry_space_group_name_Hall 'C -2y'
loop_
_atom_site_label
_atom_site_type_symbol
_atom_site_fract_x
_atom_site_fract_y
_atom_site_fract_z
_atom_site_occupancy
As1 As 0.000 0.000 0.000 1
As2 As 0.122 0.500 0.967 1
P1 P 0.180 0.000 0.316 1
P2 P 0.286 0.500 0.310 1
Cl1 Cl 0.176 0.000 0.558 1
Cl2 Cl 0.361 0.000 0.155 1
# - Energy above the most stable polymorph in this dataset: 74 meV per atom

# 3
# AsPCl PBE relaxed
data_AsPCl
_chemical_formula_sum 'As4 P4 Cl4'
_cell_length_a 20.128
_cell_length_b 3.514
_cell_length_c 5.110
_cell_angle_alpha 90.00
_cell_angle_beta 95.00
_cell_angle_gamma 90.00
_symmetry_space_group_name_H-M 'C 1 m 1'
_symmetry_Int_Tables_number 8
_symmetry_space_group_name_Hall 'C -2y'
loop_
_atom_site_label
_atom_site_type_symbol
_atom_site_fract_x
_atom_site_fract_y
_atom_site_fract_z
_atom_site_occupancy
As1 As 0.000 0.000 0.000 1
As2 As 0.004 0.500 0.652 1
P1 P 0.355 0.500 0.685 1
P2 P 0.393 0.000 0.444 1
Cl1 Cl 0.111 0.000 0.069 1
Cl2 Cl 0.256 0.500 0.543 1
# - Energy above the most stable polymorph in this dataset: 31 meV per atom

# 4
Entry from Alexandria: a geometry-optimized As4PCl structure (PBE).

The structure in CIF format:
```
data_As4PCl
_chemical_formula_sum 'As16 P4 Cl4'
_cell_length_a 8.199
_cell_length_b 8.199
_cell_length_c 8.199
_cell_angle_alpha 90.00
_cell_angle_beta 90.00
_cell_angle_gamma 90.00
_symmetry_space_group_name_H-M 'F -4 3 m'
_symmetry_Int_Tables_number 216
_symmetry_space_group_name_Hall 'F -4 2 3'
loop_
_atom_site_label
_atom_site_type_symbol
_atom_site_fract_x
_atom_site_fract_y
_atom_site_fract_z
_atom_site_occupancy
As1 As 0.108 0.108 0.108 1
P1 P 0.000 0.000 0.500 1
Cl1 Cl 0.250 0.250 0.750 1
```

In eV per atom, the formation energy from raw total energies values for the records above are, in order, 0.47, -0.16, -0.20, 0.59.